Entry 1:
Material: SrSmPu2S4
Method: DFT, PBE
State: optimized geometry

a b c (Å): 7.012 4.036 7.025
angles (deg): 90.00 109.35 90.00
Sites, in units of the cell vectors:
Sr 0.000 0.000 0.000
Sm 0.000 0.500 0.500
Pu 0.500 0.000 0.500
Pu 0.500 0.500 0.000
S 0.258 0.000 0.747
S 0.262 0.500 0.261
S 0.738 0.500 0.739
S 0.742 0.000 0.253

Properties
The calculation puts the calculated volume at 23.4 Å³ per atom. The density of states at the Fermi level is 1.889 states/eV/atom. The uncorrected formation energy comes out at -15.06 eV per formula unit.


Entry 2:
Material: Sr3Sm3PuS8
Method: DFT, PBE
State: optimized geometry

a b c (Å): 8.350 8.350 8.350
angles (deg): 58.46 58.46 58.46
Sites, in units of the cell vectors:
Sr 0.000 0.500 0.500
Sr 0.500 0.000 0.500
Sr 0.500 0.500 0.000
Sm 0.000 0.000 0.500
Sm 0.000 0.500 0.000
Sm 0.500 0.000 0.000
Pu 0.500 0.500 0.500
S 0.245 0.245 0.245
S 0.245 0.742 0.742
S 0.258 0.258 0.755
S 0.258 0.755 0.258
S 0.742 0.245 0.742
S 0.742 0.742 0.245
S 0.755 0.258 0.258
S 0.755 0.755 0.755

Properties
The calculation puts the calculated volume at 26.5 Å³ per atom. The density of states at the Fermi level is 1.007 states/eV/atom. The uncorrected formation energy comes out at -30.09 eV per formula unit.


Entry 3:
Material: Tb2Sm3PuS6
Method: DFT, PBE
State: optimized geometry

a b c (Å): 8.884 8.884 7.977
angles (deg): 103.06 103.06 25.71
Sites, in units of the cell vectors:
Tb 0.164 0.164 0.329
Tb 0.836 0.836 0.671
Sm 0.166 0.166 0.835
Sm 0.500 0.500 0.500
Sm 0.834 0.834 0.165
Pu 0.500 0.500 0.000
S 0.001 0.001 0.247
S 0.331 0.331 0.421
S 0.334 0.334 0.912
S 0.666 0.666 0.088
S 0.669 0.669 0.579
S 0.999 0.999 0.753

Properties
The calculation puts the calculated volume at 22.1 Å³ per atom. The density of states at the Fermi level is 0.645 states/eV/atom. The uncorrected formation energy comes out at -23.96 eV per formula unit.


Entry 4:
Material: TbSm4Pu3S8
Method: DFT, PBE
State: optimized geometry

a b c (Å): 7.971 7.971 7.971
angles (deg): 59.74 59.74 59.74
Sites, in units of the cell vectors:
Tb 0.000 0.000 0.000
Sm 0.000 0.000 0.500
Sm 0.000 0.500 0.000
Sm 0.500 0.000 0.000
Sm 0.500 0.500 0.500
Pu 0.000 0.500 0.500
Pu 0.500 0.000 0.500
Pu 0.500 0.500 0.000
S 0.248 0.248 0.749
S 0.248 0.749 0.248
S 0.251 0.752 0.752
S 0.252 0.252 0.252
S 0.748 0.748 0.748
S 0.749 0.248 0.248
S 0.752 0.251 0.752
S 0.752 0.752 0.251

Properties
The calculation puts the calculated volume at 22.2 Å³ per atom. The density of states at the Fermi level is 1.520 states/eV/atom. The uncorrected formation energy comes out at -31.16 eV per formula unit.


Entry 5:
Material: Tb3Sm2PuS6
Method: DFT, PBE
State: optimized geometry

a b c (Å): 8.856 8.856 7.954
angles (deg): 103.14 103.14 25.71
Sites, in units of the cell vectors:
Tb 0.000 0.000 0.000
Tb 0.333 0.333 0.664
Tb 0.667 0.667 0.336
Sm 0.335 0.335 0.170
Sm 0.665 0.665 0.830
Pu 0.000 0.000 0.500
S 0.166 0.166 0.088
S 0.167 0.167 0.579
S 0.498 0.498 0.751
S 0.502 0.502 0.249
S 0.833 0.833 0.421
S 0.834 0.834 0.912

Properties
The calculation puts the calculated volume at 21.9 Å³ per atom. The density of states at the Fermi level is 0.657 states/eV/atom. The uncorrected formation energy comes out at -23.94 eV per formula unit.


Entry 6:
Material: Tb3Sm4PuS8
Method: DFT, PBE
State: optimized geometry

a b c (Å): 7.950 7.950 7.950
angles (deg): 59.87 59.87 59.87
Sites, in units of the cell vectors:
Tb 0.000 0.500 0.500
Tb 0.500 0.000 0.500
Tb 0.500 0.500 0.000
Sm 0.000 0.000 0.500
Sm 0.000 0.500 0.000
Sm 0.500 0.000 0.000
Sm 0.500 0.500 0.500
Pu 0.000 0.000 0.000
S 0.248 0.248 0.747
S 0.248 0.747 0.248
S 0.253 0.253 0.253
S 0.253 0.752 0.752
S 0.747 0.248 0.248
S 0.747 0.747 0.747
S 0.752 0.253 0.752
S 0.752 0.752 0.253

Properties
The calculation puts the calculated volume at 22.1 Å³ per atom. The density of states at the Fermi level is 0.788 states/eV/atom. The uncorrected formation energy comes out at -31.97 eV per formula unit.